A plane-wave DFT calculation with PBE with a Hubbard U was carried out for AsWNF2 after structural relaxation.

The excess energy over the best structure of this formula in the dataset is 444 meV per atom. The density of states at the Fermi level is 0.8 states/eV per cell. Its volume is 14.573 Å³ per atom. The calculation puts the total energy at -4.7430 eV per atom.

The space group is P4/mmm (No. 123) and the conventional cell measures 4.062, 4.062 and 4.415 Å, with angles of 90.00, 90.00 and 90.00 degrees. The asymmetric unit holds As at (0.000, 0.000, 0.000), W at (0.500, 0.500, 0.500), N at (0.000, 0.000, 0.500) and F at (0.000, 0.500, 0.000).